Below is crystalline NdGa6Pd6 at its relaxed geometry, with properties calculated at the PBE-GGA level.

Cell and atoms, written as CIF:
```
data_NdGa6Pd6
_chemical_formula_sum 'Nd2 Ga12 Pd12'
_cell_length_a 5.516
_cell_length_b 8.432
_cell_length_c 9.511
_cell_angle_alpha 90.00
_cell_angle_beta 90.00
_cell_angle_gamma 90.00
_symmetry_space_group_name_H-M 'I m m m'
_symmetry_Int_Tables_number 71
_symmetry_space_group_name_Hall '-I 2 2'
loop_
_atom_site_label
_atom_site_fract_x
_atom_site_fract_y
_atom_site_fract_z
Nd1 0.000 0.000 0.000
Ga1 0.000 0.000 0.344
Ga2 0.000 0.353 0.000
Ga3 0.000 0.500 0.320
Pd1 0.000 0.259 0.500
Pd2 0.250 0.250 0.250
```

## Properties
Energy of formation from the pure elements ... -626 meV per atom
Excess energy over the best structure of this formula in the dataset ... 0.0000 eV per atom